Record 1
Material: AgWCl2
Method: DFT, PBE
State: optimized geometry

Calculated values
Raw formation energy ... 0.407 eV/atom
DFT total energy ... -4.467 eV per atom
ΔE to the lowest computed polymorph ... 0.359 eV/atom
Mass density ... 6.85 g/cm3
Crystal system ... orthorhombic

a b c (Å): 7.1396 7.1396 7.1396
angles (deg): 156.38 142.82 44.52
Fractional positions:
Ag 0.6731 0.1731 0.5000
W 0.4877 0.4877 0.0000
Cl 0.0032 0.0032 0.0000
Cl 0.3360 0.8360 0.5000

Record 2
Material: Ag3WCl7
Method: DFT, PBE
State: optimized geometry

Calculated values
Raw formation energy ... -0.561 eV/atom
DFT total energy ... -3.691 eV per atom
Mass density ... 4.09 g/cm3
Crystal system ... monoclinic

a b c (Å): 7.4752 7.4752 6.8625
angles (deg): 68.66 68.66 62.04
Fractional positions:
Ag 0.5855 0.1905 0.5974
Ag 0.4728 0.4728 0.9046
Ag 0.1905 0.5855 0.5974
W 0.0496 0.0496 0.9585
Cl 0.1426 0.1426 0.1796
Cl 0.6901 0.1421 0.1625
Cl 0.9484 0.3982 0.7381
Cl 0.1421 0.6901 0.1625
Cl 0.5572 0.5572 0.4841
Cl 0.3982 0.9484 0.7381
Cl 0.9480 0.9480 0.7270

Please write out number 2 again, unchanged.
Material: Ag3WCl7
Method: DFT, PBE
State: optimized geometry

Calculated values
Raw formation energy ... -0.561 eV/atom
DFT total energy ... -3.691 eV per atom
Mass density ... 4.09 g/cm3
Crystal system ... monoclinic

a b c (Å): 7.4752 7.4752 6.8625
angles (deg): 68.66 68.66 62.04
Fractional positions:
Ag 0.5855 0.1905 0.5974
Ag 0.4728 0.4728 0.9046
Ag 0.1905 0.5855 0.5974
W 0.0496 0.0496 0.9585
Cl 0.1426 0.1426 0.1796
Cl 0.6901 0.1421 0.1625
Cl 0.9484 0.3982 0.7381
Cl 0.1421 0.6901 0.1625
Cl 0.5572 0.5572 0.4841
Cl 0.3982 0.9484 0.7381
Cl 0.9480 0.9480 0.7270